A plane-wave DFT calculation with PBE with a Hubbard U was carried out for a relaxed structure of LiNdMn4O12.

abc: 5.3142 5.3142 7.5988
angles: 90.00 90.00 90.00
Site moments in Bohr magnetons follow the coordinates.
Fractional positions:
1 Li 0.5000 0.5000 0.0000  0.00
2 Nd 0.0000 0.0000 0.5000  0.00
3 Mn 0.0000 0.5000 0.7574  2.82
4 Mn 0.0000 0.5000 0.2426  2.82
5 Mn 0.5000 0.0000 0.7574  2.82
6 Mn 0.5000 0.0000 0.2426  2.82
7 O 0.2421 0.2421 0.7373  0.31
8 O 0.2421 0.2421 0.2627  0.31
9 O 0.7579 0.7579 0.7373  0.31
10 O 0.7579 0.7579 0.2627  0.31
11 O 0.7579 0.2421 0.7373  0.31
12 O 0.7579 0.2421 0.2627  0.31
13 O 0.2421 0.7579 0.7373  0.31
14 O 0.2421 0.7579 0.2627  0.31
15 O 0.0000 0.5000 0.5000  0.34
16 O 0.0000 0.5000 0.0000  0.34
17 O 0.5000 0.0000 0.5000  0.34
18 O 0.5000 0.0000 0.0000  0.34

Calculated values
The value obtained for the energy is -117.2 eV/cell. The magnetic moment is 16.11 μB/cell. The density of states at the Fermi level comes out at 10.4 states/eV per cell.